Record 1
This record from Alexandria via LeMat-Bulk describes an optimized crystal structure of ErPt3. The functional is GGA-PBE.

Output
**Crystal system**: tetragonal
**Magnetic moment**: 0.000 μB per cell
**DOS at the Fermi energy**: 11.4 states/eV/cell
**Electronic total energy**: -6.583 eV per atom

Lattice parameters (Å, degrees): 4.092 4.092 8.396 90.00 90.00 90.00
Space group I4/mmm (No. 139)
Symmetry-distinct sites (fractional):
Er 0.000 0.000 0.000 (multiplicity 2)
Pt 0.000 0.000 0.500 (multiplicity 2)
Pt 0.000 0.500 0.250 (multiplicity 4)

Record 2
This record from Alexandria via LeMat-Bulk describes an optimized crystal structure of RbCaN2O. The functional is GGA-PBE.

Output
**Crystal system**: tetragonal
**Magnetic moment**: 3.003 μB per cell
**Uncorrected formation energy**: 1.484 eV/atom
**DOS at the Fermi energy**: 4.1 states/eV/cell
**Electronic total energy**: -3.431 eV per atom

Lattice parameters (Å, degrees): 4.423 4.423 4.771 90.00 90.00 90.00
Space group P4/mmm (No. 123)
Symmetry-distinct sites (fractional):
Rb 0.000 0.000 0.000 (multiplicity 1)
Ca 0.500 0.500 0.500 (multiplicity 1)
N 0.000 0.500 0.000 (multiplicity 2)
O 0.000 0.000 0.500 (multiplicity 1)

Record 3
This record from Alexandria via LeMat-Bulk describes an optimized crystal structure of Pm6ZnRu2Br3. The functional is GGA-PBE.

Output
**Crystal system**: monoclinic
**Magnetic moment**: 0.000 μB per cell
**Uncorrected formation energy**: -0.790 eV/atom
**DOS at the Fermi energy**: 12.2 states/eV/cell
**Electronic total energy**: -5.236 eV per atom

Lattice parameters (Å, degrees): 7.136 12.365 8.165 90.00 106.89 90.00
Space group C2/m (No. 12)
Symmetry-distinct sites (fractional):
Pm 0.211 0.000 0.200 (multiplicity 4)
Pm 0.245 0.322 0.200 (multiplicity 8)
Zn 0.000 0.500 0.000 (multiplicity 2)
Ru 0.000 0.167 0.000 (multiplicity 4)
Br 0.000 0.000 0.500 (multiplicity 2)
Br 0.000 0.333 0.500 (multiplicity 4)

Record 4
This record from Alexandria via LeMat-Bulk describes an optimized crystal structure of Nd8Os3SCl4. The functional is GGA-PBE.

Output
**Crystal system**: trigonal
**Magnetic moment**: 0.000 μB per cell
**Uncorrected formation energy**: -1.006 eV/atom
**DOS at the Fermi energy**: 19.5 states/eV/cell
**Electronic total energy**: -6.215 eV per atom

Lattice parameters (Å, degrees): 8.2835 8.2835 22.3627 90.00 90.00 120.00
Space group R-3m (No. 166, hexagonal axes)
Symmetry-distinct sites (fractional):
Nd 0.0000 0.0000 0.2368 (multiplicity 6)
Nd 0.0128 0.5064 0.7653 (multiplicity 18)
Os 0.0000 0.5000 0.5000 (multiplicity 9)
S 0.0000 0.0000 0.5000 (multiplicity 3)
Cl 0.0000 0.0000 0.0000 (multiplicity 3)
Cl 0.0000 0.5000 0.0000 (multiplicity 9)

Record 5
This record from Alexandria via LeMat-Bulk describes an optimized crystal structure of CePuSc2. The functional is GGA-PBE.

Output
**Crystal system**: tetragonal
**Magnetic moment**: 5.413 μB per cell
**Offset from the most stable computed form**: 76 meV per atom
**DOS at the Fermi energy**: 12.6 states/eV/cell
**Electronic total energy**: -8.050 eV per atom

Lattice parameters (Å, degrees): 5.420 5.420 3.612 90.00 90.00 90.00
Space group P4/mmm (No. 123)
Symmetry-distinct sites (fractional):
Ce 0.000 0.000 0.000 (multiplicity 1)
Pu 0.500 0.500 0.000 (multiplicity 1)
Sc 0.000 0.500 0.500 (multiplicity 2)

Record 6
This record from Alexandria via LeMat-Bulk describes an optimized crystal structure of KMn4Cd. The functional is GGA-PBE.

Output
**Crystal system**: cubic
**Magnetic moment**: 60.658 μB per cell
**DOS at the Fermi energy**: 21.9 states/eV/cell
**Electronic total energy**: -5.684 eV per atom

Lattice parameters (Å, degrees): 7.811 7.811 7.811 90.00 90.00 90.00
Space group F-43m (No. 216)
Symmetry-distinct sites (fractional):
K 0.000 0.000 0.000 (multiplicity 4)
Mn 0.122 0.122 0.622 (multiplicity 16)
Cd 0.250 0.250 0.250 (multiplicity 4)

Record 7
This record from Alexandria via LeMat-Bulk describes an optimized crystal structure of Cd8BiPt6. The functional is GGA-PBE.

Output
**Crystal system**: trigonal
**Magnetic moment**: 0.000 μB per cell
**DOS at the Fermi energy**: 21.7 states/eV/cell
**Electronic total energy**: -3.403 eV per atom

Lattice parameters (Å, degrees): 8.0478 8.0478 16.7818 90.00 90.00 120.00
Space group R-3 (No. 148, hexagonal axes)
Symmetry-distinct sites (fractional):
Cd 0.0000 0.0000 0.1659 (multiplicity 6)
Cd 0.0042 0.6581 0.3797 (multiplicity 18)
Bi 0.0000 0.0000 0.5000 (multiplicity 3)
Pt 0.0000 0.3347 0.4510 (multiplicity 18)

Record 8
This record from Alexandria via LeMat-Bulk describes an optimized crystal structure of Er4Mg5Ag2. The functional is GGA-PBE.

Output
**Crystal system**: monoclinic
**Magnetic moment**: 0.000 μB per cell
**DOS at the Fermi energy**: 8.6 states/eV/cell
**Electronic total energy**: -3.009 eV per atom

Lattice parameters (Å, degrees): 7.886 3.453 10.249 90.00 93.25 90.00
Space group P2/m (No. 10)
Symmetry-distinct sites (fractional):
Er 0.160 0.000 0.375 (multiplicity 2)
Er 0.250 0.000 0.949 (multiplicity 2)
Mg 0.196 0.500 0.663 (multiplicity 2)
Mg 0.440 0.500 0.198 (multiplicity 2)
Mg 0.500 0.500 0.500 (multiplicity 1)
Ag 0.061 0.500 0.139 (multiplicity 2)

Record 9
This record from Alexandria via LeMat-Bulk describes an optimized crystal structure of NdHoMg2. The functional is GGA-PBE.

Output
**Crystal system**: tetragonal
**Magnetic moment**: 0.000 μB per cell
**Offset from the most stable computed form**: 7 meV per atom
**DOS at the Fermi energy**: 4.2 states/eV/cell
**Electronic total energy**: -3.225 eV per atom

Lattice parameters (Å, degrees): 5.391 5.391 3.864 90.00 90.00 90.00
Space group P4/mmm (No. 123)
Symmetry-distinct sites (fractional):
Nd 0.000 0.000 0.000 (multiplicity 1)
Ho 0.500 0.500 0.000 (multiplicity 1)
Mg 0.000 0.500 0.500 (multiplicity 2)

Record 10
This record from Alexandria via LeMat-Bulk describes an optimized crystal structure of ZrSbI2F. The functional is GGA-PBE.

Output
**Crystal system**: tetragonal
**Magnetic moment**: 0.403 μB per cell
**Offset from the most stable computed form**: 0 meV per atom
**Uncorrected formation energy**: -0.336 eV/atom
**DOS at the Fermi energy**: 4.7 states/eV/cell
**Electronic total energy**: -3.865 eV per atom

Lattice parameters (Å, degrees): 5.588 5.588 5.699 90.00 90.00 90.00
Space group P4/mmm (No. 123)
Symmetry-distinct sites (fractional):
Zr 0.000 0.000 0.000 (multiplicity 1)
Sb 0.000 0.000 0.500 (multiplicity 1)
I 0.000 0.500 0.000 (multiplicity 2)
F 0.500 0.500 0.500 (multiplicity 1)

Record 11
This record from Alexandria via LeMat-Bulk describes an optimized crystal structure of YMoCl2. The functional is GGA-PBE.

Output
**Crystal system**: orthorhombic
**Magnetic moment**: 2.333 μB per cell
**Offset from the most stable computed form**: 285 meV per atom
**Uncorrected formation energy**: -0.272 eV/atom
**DOS at the Fermi energy**: 2.3 states/eV/cell
**Electronic total energy**: -5.519 eV per atom

Lattice parameters (Å, degrees): 3.240 4.452 5.748 90.00 90.00 90.00
Space group Pmmm (No. 47)
Symmetry-distinct sites (fractional):
Y 0.000 0.000 0.000 (multiplicity 1)
Mo 0.500 0.000 0.500 (multiplicity 1)
Cl 0.000 0.500 0.500 (multiplicity 1)
Cl 0.500 0.500 0.000 (multiplicity 1)

Record 12
This record from Alexandria via LeMat-Bulk describes an optimized crystal structure of Rb2Au2S7. The functional is GGA-PBE.

Output
**Crystal system**: monoclinic
**Magnetic moment**: 0.000 μB per cell
**Uncorrected formation energy**: -0.185 eV/atom
**Electronic total energy**: -3.583 eV per atom

Lattice parameters (Å, degrees): 11.250 10.561 5.714 90.00 109.65 90.00
Space group C2/m (No. 12)
Symmetry-distinct sites (fractional):
Rb 0.246 0.000 0.201 (multiplicity 4)
Au 0.000 0.252 0.500 (multiplicity 4)
S 0.000 0.500 0.000 (multiplicity 2)
S 0.075 0.295 0.173 (multiplicity 8)
S 0.097 0.000 0.603 (multiplicity 4)